No. 1
A plane-wave DFT calculation with PBE was carried out for CdIn2Ag2 after structural relaxation.

a b c (Å): 4.054 4.054 14.261
angles (deg): 90.00 90.00 90.00
Space group I4/mmm (No. 139)
Asymmetric unit:
Cd  0.000  0.000  0.000 (multiplicity 2)
In  0.000  0.000  0.398 (multiplicity 4)
Ag  0.000  0.500  0.250 (multiplicity 4)

Values from the calculation:
**Calculated volume**: 23.436 A^3/atom
**Crystal system**: tetragonal
**Formation energy from the elements**: 0.5 eV per formula unit


No. 2
A plane-wave DFT calculation with PBE was carried out for Cd2In5Ag2 after structural relaxation.

a b c (Å): 15.815 7.486 7.592
angles (deg): 90.00 90.00 90.00
Space group Cmce (No. 64)
Asymmetric unit:
Cd  0.216  0.000  0.000 (multiplicity 8)
In  0.000  0.000  0.000 (multiplicity 4)
In  0.128  0.167  0.334 (multiplicity 16)
Ag  0.000  0.133  0.634 (multiplicity 8)

Values from the calculation:
**Calculated volume**: 24.969 A^3/atom
**Crystal system**: orthorhombic
**Formation energy from the elements**: 0.5 eV per formula unit


No. 3
A plane-wave DFT calculation with PBE was carried out for CdIn6Ag2 after structural relaxation.

a b c (Å): 10.661 5.568 9.049
angles (deg): 90.00 123.49 90.00
Space group C2/m (No. 12)
Asymmetric unit:
Cd  0.000  0.000  0.000 (multiplicity 2)
In  0.061  0.000  0.381 (multiplicity 4)
In  0.169  0.500  0.678 (multiplicity 4)
In  0.191  0.500  0.050 (multiplicity 4)
Ag  0.109  0.500  0.309 (multiplicity 4)

Values from the calculation:
**Calculated volume**: 24.887 A^3/atom
**Crystal system**: monoclinic
**Formation energy from the elements**: 0.6 eV per formula unit


No. 4
A plane-wave DFT calculation with PBE was carried out for Cd2InAg6 after structural relaxation.

a b c (Å): 13.897 10.001 5.027
angles (deg): 90.00 98.35 90.00
Space group C2/c (No. 15)
Asymmetric unit:
Cd  0.168  0.124  0.082 (multiplicity 8)
In  0.000  0.370  0.250 (multiplicity 4)
Ag  0.056  0.122  0.532 (multiplicity 8)
Ag  0.112  0.376  0.804 (multiplicity 8)
Ag  0.222  0.375  0.364 (multiplicity 8)

Values from the calculation:
**Calculated volume**: 19.201 A^3/atom
**Crystal system**: monoclinic
**Formation energy from the elements**: -0.1 eV per formula unit


No. 5
A plane-wave DFT calculation with PBE was carried out for Cd3In3Ag2 after structural relaxation.

a b c (Å): 17.881 4.468 4.588
angles (deg): 90.00 94.83 90.00
Space group C2/m (No. 12)
Asymmetric unit:
Cd  0.000  0.000  0.000 (multiplicity 2)
Cd  0.137  0.000  0.688 (multiplicity 4)
In  0.000  0.500  0.500 (multiplicity 2)
In  0.141  0.500  0.181 (multiplicity 4)
Ag  0.250  0.000  0.263 (multiplicity 4)

Values from the calculation:
**Calculated volume**: 22.828 A^3/atom
**Crystal system**: monoclinic
**Formation energy from the elements**: 0.1 eV per formula unit


No. 6
A plane-wave DFT calculation with PBE was carried out for Cd3InAg2 after structural relaxation.

a b c (Å): 18.625 3.194 9.873
angles (deg): 90.00 121.20 90.00
Space group C2/m (No. 12)
Asymmetric unit:
Cd  0.052  0.000  0.178 (multiplicity 4)
Cd  0.118  0.500  0.990 (multiplicity 4)
Cd  0.221  0.500  0.346 (multiplicity 4)
In  0.101  0.500  0.493 (multiplicity 4)
Ag  0.064  0.000  0.701 (multiplicity 4)
Ag  0.223  0.500  0.848 (multiplicity 4)

Values from the calculation:
**Calculated volume**: 20.934 A^3/atom
**Crystal system**: monoclinic
**Formation energy from the elements**: 0.0 eV per formula unit